Record 1
4
Lattice="3.820 0.000 0.000 0.000 2.961 0.006 0.000 2.947 5.290" Properties=species:S:1:pos:R:3 comment="TaSiRu2 PBE relaxed" spacegroup="Pmm2, No. 25" formation_energy_uncorrected_kj_per_mol_atoms=-33.30 pbc="T T T"
Ta 1.910 4.428 4.060
Ru 1.910 1.479 1.598
Ru 0.000 2.949 5.118
Si 0.000 2.954 2.457


Record 2
4
Lattice="-0.145 2.733 -0.727 -0.653 -2.004 -1.890 -9.644 0.292 3.023" Properties=species:S:1:pos:R:3 comment="TaW PBE relaxed" spacegroup="P-3m1, No. 164" ef_ev_per_atom=0.412 pbc="T T T"
W -7.674 -0.208 0.751
W -4.865 0.147 1.525
Ta -9.602 0.290 3.010
Ta -2.937 -0.351 -0.734


Record 3
4
Lattice="3.457 0.000 0.000 0.000 4.398 0.000 0.000 0.000 5.062" Properties=species:S:1:pos:R:3 comment="CaRe2Te PBE relaxed" spacegroup="Pmmm, No. 47" formation_energy_uncorrected_kj_per_mol_atoms=66.43 pbc="T T T"
Te 1.729 0.000 2.531
Re 1.729 2.199 0.000
Re 0.000 0.000 0.000
Ca 0.000 2.199 2.531